# NiP2IrO PBE+U optimized geometry
data_NiP2IrO
_chemical_formula_sum 'Ni1 P2 Ir1 O1'
_space_group_name_H-M_alt 'P 4/m m m'
_space_group_IT_number 123
_space_group_name_Hall '-P 4 2'
_cell_length_a 4.486
_cell_length_b 4.486
_cell_length_c 3.343
_cell_angle_alpha 90.00
_cell_angle_beta 90.00
_cell_angle_gamma 90.00
loop_
_atom_site_label
_atom_site_type_symbol
_atom_site_fract_x
_atom_site_fract_y
_atom_site_fract_z
Ni1 Ni 0.000 0.000 0.000
P1 P 0.000 0.500 0.000
Ir1 Ir 0.500 0.500 0.500
O1 O 0.000 0.000 0.500
# - energy above the most stable polymorph in this dataset (eV per atom) = 0.000
# - DFT total energy (eV/cell) = -24.1
# - total magnetic moment (μB per formula unit) = 0.55